Here is an optimized crystal structure of La8Ir2Os from Alexandria. Energies are from PBE.

abc: 6.844 7.751 7.751
angles: 70.71 76.39 76.39
Atoms (fractional coordinates):
1 Ir 0.463 0.313 0.313
2 Ir 0.537 0.687 0.687
3 La 0.259 0.136 0.136
4 La 0.250 0.643 0.060
5 La 0.750 0.940 0.357
6 La 0.750 0.357 0.940
7 La 0.768 0.420 0.420
8 La 0.250 0.060 0.643
9 La 0.741 0.864 0.864
10 La 0.232 0.580 0.580
11 Os 0.000 0.000 0.000

Here is an optimized crystal structure of La2IrOs from Alexandria. Energies are from PBE.

Results
- energy above the most stable polymorph in this dataset (kJ/mol of formula units) = 0

abc: 7.727 7.727 7.727
angles: 32.75 32.75 32.75
Site moments in Bohr magnetons follow the coordinates.
Atoms (fractional coordinates):
1 Ir 0.792 0.792 0.792  0.04
2 Os 0.458 0.458 0.458  0.05
3 La 0.211 0.211 0.211  0.09
4 La 0.039 0.039 0.039  0.09

E_form for the records above, in order: -0.3468 -0.2757 eV/atom
Total magnetic moment for the records above, in order: 0.0 0.9 μB/cell
Calculated total energy for the records above, in order: -72.186 -31.049 eV/f.u.